# 1
{
  "formula": "NbInTeBr2",
  "functional": "SCAN",
  "state": "single point on PBEsol structure",
  "magnetic_moment_mub_per_fu": 3.91,
  "total_energy_ev_per_atom": -28.042,
  "crystal_system": "tetragonal",
  "e_form_raw_ev_per_atom": 0.496,
  "n_ef_per_ev_atom": 0.91,
  "lattice": [[5.299, 0.000, 0.000], [0.000, 5.874, 0.000], [0.000, 0.000, 5.874]],
  "species": ["Nb", "Te", "Br", "Br", "In"],
  "frac_coords": [[0.500, 0.000, 0.000], [0.000, 0.000, 0.000], [0.000, 0.000, 0.500], [0.000, 0.500, 0.000], [0.500, 0.500, 0.500]]
}

---

# 2
{
  "formula": "In2NiBr",
  "functional": "SCAN",
  "state": "single point on PBEsol structure",
  "magnetic_moment_mub_per_fu": 0.00,
  "total_energy_ev_per_atom": -25.226,
  "crystal_system": "tetragonal",
  "e_form_raw_ev_per_atom": 0.375,
  "n_ef_per_ev_atom": 0.67,
  "de_polymorph_mev_per_atom": 0,
  "lattice": [[3.981, 0.000, 0.000], [0.000, 3.981, 0.000], [-1.991, -1.991, 5.681]],
  "species": ["Br", "In", "In", "Ni"],
  "frac_coords": [[0.250, 0.750, 0.500], [0.000, 0.000, 0.000], [0.750, 0.250, 0.500], [0.500, 0.500, 0.000]]
}